Here is a geometry-optimized BaCr2Bi structure from Alexandria. Energies are from PBE-GGA. Values from VASP.

Quantum ESPRESSO input file:
```
&SYSTEM
  ibrav = 0, nat = 8, ntyp = 3
/
ATOMIC_SPECIES
Cr 52.00 Cr.upf
Bi 208.98 Bi.upf
Ba 137.33 Ba.upf
ATOMIC_POSITIONS angstrom
Cr -0.872 -3.321 -5.111
Cr 1.614 -3.308 -6.282
Cr 1.324 -7.828 -3.726
Cr 0.172 -8.304 -6.175
Bi 0.000 0.000 0.000
Bi 0.560 -5.691 -5.323
Ba 1.334 -0.463 -3.621
Ba 4.197 -5.201 -4.045
CELL_PARAMETERS angstrom
-2.303 -0.952 -4.899
4.972 0.026 -2.343
2.088 -9.966 -2.127
```

Summary:
- Symmetry: No. 141

Here is a geometry-optimized BaCrBi2 structure from Alexandria. Energies are from PBE-GGA. Values from VASP.

Quantum ESPRESSO input file:
```
&SYSTEM
  ibrav = 0, nat = 4, ntyp = 3
/
ATOMIC_SPECIES
Cr 52.00 Cr.upf
Bi 208.98 Bi.upf
Ba 137.33 Ba.upf
ATOMIC_POSITIONS angstrom
Cr 0.000 0.000 0.000
Bi 1.920 1.920 1.920
Bi 5.760 5.760 5.760
Ba 3.840 3.840 3.840
CELL_PARAMETERS angstrom
0.000 3.840 3.840
3.840 0.000 3.840
3.840 3.840 0.000
```

Summary:
- Symmetry: No. 225

Here is a geometry-optimized Ba2CrBi structure from Alexandria. Energies are from PBE-GGA. Values from VASP.

Quantum ESPRESSO input file:
```
&SYSTEM
  ibrav = 0, nat = 8, ntyp = 3
/
ATOMIC_SPECIES
Cr 52.00 Cr.upf
Bi 208.98 Bi.upf
Ba 137.33 Ba.upf
ATOMIC_POSITIONS angstrom
Cr -7.501 -4.267 -0.740
Cr -11.265 -7.150 3.355
Bi 0.000 0.000 0.000
Bi -12.504 -3.618 -4.455
Ba -6.950 -1.868 -2.910
Ba -8.686 -5.649 1.990
Ba -13.267 -6.203 0.933
Ba -18.636 -7.815 -2.213
CELL_PARAMETERS angstrom
-8.740 -0.735 -8.551
-6.262 -7.798 7.071
-8.767 -2.235 0.380
```

Summary:
- Symmetry: No. 122

Here is a geometry-optimized BaCrBi3 structure from Alexandria. Energies are from PBE-GGA. Values from VASP.

Quantum ESPRESSO input file:
```
&SYSTEM
  ibrav = 0, nat = 5, ntyp = 3
/
ATOMIC_SPECIES
Cr 52.00 Cr.upf
Bi 208.98 Bi.upf
Ba 137.33 Ba.upf
ATOMIC_POSITIONS angstrom
Cr 3.163 3.163 3.163
Bi 0.000 3.163 0.000
Bi 0.000 0.000 3.163
Bi 3.163 0.000 0.000
Ba 0.000 0.000 0.000
CELL_PARAMETERS angstrom
6.327 0.000 0.000
0.000 6.327 0.000
0.000 0.000 6.327
```

Summary:
- Symmetry: No. 221
- Energy relative to the lowest polymorph listed for this composition: 127.0 kJ/mol of atoms

ΔE_f per entry: 58.9, 51.4, 21.8, 121.2 kJ per mole of atoms
Calculated volume per entry: 291.45, 113.22, 396.53, 253.27 Å³ per cell